1.
Sr2YNbO6 at its PBEsol-relaxed geometry. Source: the Alexandria database, functional meta-GGA SCAN.

Calculated values
E_tot: -175.76 eV per cell
Crystal system: cubic

Lattice parameters (Å, degrees): 5.8976 5.8976 5.8976 60.00 60.00 60.00
Last column: nearest neighbours and their distance in Å.
Positions (direct):
Y  0.0000  0.0000  0.0000  6 O 2.18
Sr  0.2500  0.2500  0.2500  12 O 2.95
Sr  0.7500  0.7500  0.7500  12 O 2.95
Nb  0.5000  0.5000  0.5000  6 O 1.99
O  0.2614  0.7386  0.2614  1 Nb 1.99, 1 Y 2.18
O  0.2614  0.7386  0.7386  1 Nb 1.99, 1 Y 2.18
O  0.7386  0.2614  0.2614  1 Nb 1.99, 1 Y 2.18
O  0.7386  0.7386  0.2614  1 Nb 1.99, 1 Y 2.18
O  0.7386  0.2614  0.7386  1 Nb 1.99, 1 Y 2.18
O  0.2614  0.2614  0.7386  1 Nb 1.99, 1 Y 2.18

2.
Sr2YNbO6 at its PBEsol-relaxed geometry. Source: the Alexandria database, functional meta-GGA SCAN.

Calculated values
E_tot: -353.02 eV per cell
Crystal system: monoclinic

Lattice parameters (Å, degrees): 5.7822 5.8877 8.2246 90.00 89.78 90.00
Last column: nearest neighbours and their distance in Å.
Positions (direct):
Sr  0.0101  0.4591  0.2492  6 O 2.49-2.77
Sr  0.4899  0.9591  0.2508  6 O 2.49-2.77
Sr  0.5101  0.0409  0.7492  6 O 2.49-2.77
Sr  0.9899  0.5409  0.7508  6 O 2.49-2.77
Y  0.5000  0.5000  0.5000  6 O 2.23-2.24
Y  0.0000  0.0000  0.0000  6 O 2.23-2.24
Nb  0.0000  0.0000  0.5000  6 O 2.01-2.02
Nb  0.5000  0.5000  0.0000  6 O 2.01-2.02
O  0.2773  0.1972  0.4567  1 Nb 2.01, 1 Y 2.23
O  0.2227  0.6972  0.0433  1 Nb 2.01, 1 Y 2.23
O  0.7227  0.8028  0.5433  1 Nb 2.01, 1 Y 2.23
O  0.7773  0.3028  0.9567  1 Nb 2.01, 1 Y 2.23
O  0.1946  0.7227  0.4521  1 Nb 2.02, 1 Y 2.24
O  0.3054  0.2227  0.0479  1 Nb 2.02, 1 Y 2.24
O  0.8054  0.2773  0.5479  1 Nb 2.02, 1 Y 2.24
O  0.6946  0.7773  0.9521  1 Nb 2.02, 1 Y 2.24
O  0.9145  0.0270  0.2638  1 Nb 2.01, 1 Y 2.23
O  0.5855  0.5270  0.2362  1 Nb 2.01, 1 Y 2.23
O  0.0855  0.9730  0.7362  1 Nb 2.01, 1 Y 2.23
O  0.4145  0.4730  0.7638  1 Nb 2.01, 1 Y 2.23

3.
SrYNbO2 at its PBEsol-relaxed geometry. Source: the Alexandria database, functional meta-GGA SCAN.

Calculated values
E_tot: -98.57 eV per cell
Crystal system: tetragonal

Lattice parameters (Å, degrees): 4.1635 4.1635 5.7106 90.00 90.00 90.00
Last column: nearest neighbours and their distance in Å.
Positions (direct):
Y  0.0000  0.0000  0.5000  2 Nb 2.86, 4 Sr 2.94
Sr  0.5000  0.5000  0.5000  4 Y 2.94
Nb  0.0000  0.0000  0.0000  4 O 2.08
O  0.0000  0.5000  0.0000  2 Nb 2.08
O  0.5000  0.0000  0.0000  2 Nb 2.08

4.
Sr3Nb2ZnO9 at its PBEsol-relaxed geometry. Source: the Alexandria database, functional meta-GGA SCAN.

Calculated values
E_tot: -246.49 eV per cell
Crystal system: trigonal

Lattice parameters (Å, degrees): 5.6801 5.6801 6.9844 90.00 90.00 120.00
Last column: nearest neighbours and their distance in Å.
Positions (direct):
Sr  0.0000  0.0000  0.5000  12 O 2.83-2.84
Sr  0.3333  0.6667  0.1651  12 O 2.84-2.86
Sr  0.6667  0.3333  0.8349  12 O 2.84-2.86
Nb  0.3333  0.6667  0.6795  6 O 1.93-2.06
Nb  0.6667  0.3333  0.3205  6 O 1.93-2.06
Zn  0.0000  0.0000  0.0000  6 O 2.05
O  0.3368  0.1684  0.1722  1 Nb 1.93, 1 Zn 2.05
O  0.6632  0.8316  0.8278  1 Nb 1.93, 1 Zn 2.05
O  0.0000  0.5000  0.5000  2 Nb 2.06
O  0.5000  0.5000  0.5000  2 Nb 2.06
O  0.8316  0.1684  0.1722  1 Nb 1.93, 1 Zn 2.05
O  0.1684  0.8316  0.8278  1 Nb 1.93, 1 Zn 2.05
O  0.5000  0.0000  0.5000  2 Nb 2.06
O  0.8316  0.6632  0.1722  1 Nb 1.93, 1 Zn 2.05
O  0.1684  0.3368  0.8278  1 Nb 1.93, 1 Zn 2.05

5.
Sr2ZrNbO6 at its PBEsol-relaxed geometry. Source: the Alexandria database, functional meta-GGA SCAN.

Calculated values
E_tot: -178.43 eV per cell
Crystal system: cubic

Lattice parameters (Å, degrees): 5.7846 5.7846 5.7846 60.00 60.00 60.00
Last column: nearest neighbours and their distance in Å.
Positions (direct):
Sr  0.2500  0.2500  0.2500  12 O 2.89
Sr  0.7500  0.7500  0.7500  12 O 2.89
Nb  0.5000  0.5000  0.5000  6 O 2.02
O  0.2532  0.7468  0.2532  1 Nb 2.02, 1 Zr 2.07
O  0.2532  0.7468  0.7468  1 Nb 2.02, 1 Zr 2.07
O  0.7468  0.2532  0.2532  1 Nb 2.02, 1 Zr 2.07
O  0.7468  0.7468  0.2532  1 Nb 2.02, 1 Zr 2.07
O  0.7468  0.2532  0.7468  1 Nb 2.02, 1 Zr 2.07
O  0.2532  0.2532  0.7468  1 Nb 2.02, 1 Zr 2.07
Zr  0.0000  0.0000  0.0000  6 O 2.07

6.
Sr3Zr2Nb2O12 at its PBEsol-relaxed geometry. Source: the Alexandria database, functional meta-GGA SCAN.

Calculated values
E_tot: -331.75 eV per cell
Crystal system: trigonal

Lattice parameters (Å, degrees): 5.7685 5.7685 9.8492 72.97 72.97 60.00
Last column: nearest neighbours and their distance in Å.
Positions (direct):
Sr  0.7500  0.7500  0.7498  12 O 2.85-2.89
Sr  0.0000  0.0000  0.0000  12 O 2.77-2.88
Sr  0.2500  0.2500  0.2502  12 O 2.85-2.89
Zr  0.3775  0.3775  0.8675  6 O 2.06-2.07
Zr  0.6225  0.6225  0.1325  6 O 2.06-2.07
Nb  0.8734  0.8734  0.3799  6 O 1.99-2.00
Nb  0.1266  0.1266  0.6201  6 O 1.99-2.00
O  0.2301  0.7615  0.2470  1 Nb 1.99, 1 Zr 2.06
O  0.0000  0.5000  0.0000  2 Zr 2.07
O  0.7699  0.2385  0.7530  1 Nb 1.99, 1 Zr 2.06
O  0.5000  0.0000  0.5000  2 Nb 2.00
O  0.2385  0.2385  0.7530  1 Nb 1.99, 1 Zr 2.06
O  0.0000  0.0000  0.5000  2 Nb 2.00
O  0.7615  0.7615  0.2470  1 Nb 1.99, 1 Zr 2.06
O  0.5000  0.5000  0.0000  2 Zr 2.07
O  0.2385  0.7699  0.7530  1 Nb 1.99, 1 Zr 2.06
O  0.0000  0.5000  0.5000  2 Nb 2.00
O  0.7615  0.2301  0.2470  1 Nb 1.99, 1 Zr 2.06
O  0.5000  0.0000  0.0000  2 Zr 2.07

7.
TaNbO2 at its PBEsol-relaxed geometry. Source: the Alexandria database, functional meta-GGA SCAN.

Calculated values
E_tot: -236.57 eV per cell
Crystal system: tetragonal

Lattice parameters (Å, degrees): 4.0284 4.0284 6.8557 107.09 107.09 90.00
Last column: nearest neighbours and their distance in Å.
Positions (direct):
Nb  0.7500  0.2500  0.5000  4 O 2.14
Nb  0.5000  0.5000  0.0000  4 O 2.14
O  0.8901  0.3750  0.2500  2 Ta 2.08, 2 Nb 2.14
O  0.3599  0.8750  0.2500  2 Ta 2.08, 2 Nb 2.14
O  0.6250  0.6401  0.7500  2 Ta 2.08, 2 Nb 2.14
O  0.1250  0.1099  0.7500  2 Ta 2.08, 2 Nb 2.14
Ta  0.2500  0.7500  0.5000  4 O 2.08
Ta  0.0000  0.0000  0.0000  4 O 2.08

8.
TbNbO4 at its PBEsol-relaxed geometry. Source: the Alexandria database, functional meta-GGA SCAN.

Calculated values
E_tot: -248.71 eV per cell
Crystal system: tetragonal

Lattice parameters (Å, degrees): 6.1228 6.1228 6.1228 107.08 107.08 114.37
Last column: nearest neighbours and their distance in Å.
Positions (direct):
Tb  0.2500  0.7500  0.5000  8 O 2.28-2.52
Tb  0.0000  0.0000  0.0000  8 O 2.28-2.52
Nb  0.7500  0.2500  0.5000  4 O 1.86
Nb  0.5000  0.5000  0.0000  4 O 1.86
O  0.9347  0.6269  0.6922  1 Nb 1.86
O  0.3731  0.0653  0.3078  1 Nb 1.86
O  0.8769  0.6847  0.1922  1 Nb 1.86
O  0.7575  0.0653  0.6922  1 Nb 1.86
O  0.9347  0.2425  0.3078  1 Nb 1.86
O  0.3153  0.1231  0.8078  1 Nb 1.86
O  0.3153  0.5075  0.1922  1 Nb 1.86
O  0.4925  0.6847  0.8078  1 Nb 1.86

Q: Which magnetization values were calculated for the entries above? A: 0.000, 0.000, 0.002, 0.000, 0.000, 0.000, 0.000, 0.000, in μB per atom.